Version one
! PBE ScMnSeN2, optimized geometry; values from VASP
! V	87	Å³ per cell
! M_tot	1.44	Bohr magnetons per cell
! crystal system	tetragonal
! theoretical density	3.93	g/cm3
&SYSTEM
  ibrav = 0, nat = 5, ntyp = 4
/
ATOMIC_SPECIES
Sc 44.96 Sc.upf
Mn 54.94 Mn.upf
Se 78.96 Se.upf
N 14.01 N.upf
CELL_PARAMETERS angstrom
4.0258 0.0000 0.0000
0.0000 4.0258 0.0000
0.0000 0.0000 5.3902
ATOMIC_POSITIONS crystal
Sc 0.0000 0.0000 0.0000
Mn 0.5000 0.5000 0.5000
Se 0.0000 0.0000 0.5000
N 0.0000 0.5000 0.0000
N 0.5000 0.0000 0.0000

=====

Version two
! PBE ScMnSeN2, optimized geometry; values from VASP
! V	68	Å³ per cell
! M_tot	0.00	Bohr magnetons per cell
! crystal system	tetragonal
! theoretical density	5.04	g/cm3
&SYSTEM
  ibrav = 0, nat = 5, ntyp = 4
/
ATOMIC_SPECIES
Sc 44.96 Sc.upf
Mn 54.94 Mn.upf
Se 78.96 Se.upf
N 14.01 N.upf
CELL_PARAMETERS angstrom
3.7008 0.0000 0.0000
0.0000 4.9752 0.0000
0.0000 0.0000 3.7008
ATOMIC_POSITIONS crystal
Sc 0.5000 0.5000 0.5000
Mn 0.0000 0.0000 0.0000
Se 0.0000 0.5000 0.0000
N 0.0000 0.0000 0.5000
N 0.5000 0.0000 0.0000

=====

It comes down to version two, which is 113.2 kJ/mol of atoms more stable than the next structure.